This record from Alexandria describes a geometry-optimized CsPmAlSe3 structure. The functional is PBE-GGA.

The value obtained for the energy is -4.5947 eV per atom. The calculation puts the spin magnetization at 0.00 μB/f.u. The formation energy from raw total energies is -1.295 eV per atom.

The structure belongs to space group C2/m (No. 12); the cell edges are 16.488, 4.829 and 9.584 Å and the angles 90.00°, 102.25° and 90.00°. The asymmetric unit holds Cs at (0.142, 0.000, 0.056), Pm at (0.148, 0.000, 0.556), Al at (0.003, 0.500, 0.638), Se at (0.006, 0.000, 0.296), Se at (0.152, 0.500, 0.761) and Se at (0.168, 0.500, 0.366).